The following is a DFT calculation (PBE-GGA) of an optimized crystal structure of AcPr.

Properties
formation energy: 0.648 eV/atom
total energy: -3.79 eV per atom
excess energy over the best structure of this formula in the dataset: 607 meV per atom

Cell: 6.978 6.978 6.978 Å, 90.00 90.00 90.00°
Space group Fm-3m (No. 225)
One atom of each set of equivalent atoms:
Ac1 0.000 0.000 0.000 x4
Pr1 0.000 0.000 0.500 x4